Entry 1:
Density functional theory data (PBE-GGA) for crystalline YScNF2 at its relaxed geometry.

Values from the calculation:
Formation energy without anion corrections, eV per atom: -2.2208
Space-group type: P4/mmm, No. 123

abc: 4.040 4.040 4.369
angles: 90.00 90.00 90.00
Sites, in units of the cell vectors:
N (0.000, 0.000, 0.500)
Y (0.500, 0.500, 0.500)
Sc (0.000, 0.000, 0.000)
F (0.500, 0.000, 0.000)
F (0.000, 0.500, 0.000)

***

Entry 2:
Density functional theory data (PBE-GGA) for crystalline La3CuSi at its relaxed geometry.

Values from the calculation:
Formation energy without anion corrections, eV per atom: 0.1507
Space-group type: Pm-3m, No. 221

abc: 5.449 5.449 5.449
angles: 90.00 90.00 90.00
Sites, in units of the cell vectors:
La (0.000, 0.000, 0.500)
La (0.000, 0.500, 0.000)
La (0.500, 0.000, 0.000)
Cu (0.000, 0.000, 0.000)
Si (0.500, 0.500, 0.500)

***

Entry 3:
Density functional theory data (PBE-GGA) for crystalline Ta2ZnCr at its relaxed geometry.

Values from the calculation:
ΔH_f (0 K), eV per atom: 0.13
Space-group type: Cm, No. 8

abc: 5.238 5.238 4.443
angles: 65.00 65.00 35.30
Sites, in units of the cell vectors:
Ta (0.251, 0.251, 0.250)
Ta (0.023, 0.023, 0.977)
Zn (0.481, 0.481, 0.519)
Cr (0.745, 0.745, 0.755)

***

Entry 4:
Density functional theory data (PBE-GGA) for crystalline Tb3Sm6Sc at its relaxed geometry.

Values from the calculation:
ΔH_f (0 K), eV per atom: 0.14
Space-group type: Cmc2_1, No. 36

abc: 6.245 11.026 11.026
angles: 120.32 90.00 90.00
Sites, in units of the cell vectors:
Sm (0.045, 0.710, 0.622)
Sm (0.358, 0.526, 0.947)
Sm (0.148, 0.724, 0.276)
Sm (0.358, 0.053, 0.474)
Sm (0.545, 0.290, 0.378)
Sm (0.045, 0.378, 0.290)
Sm (0.916, 0.045, 0.955)
Sm (0.858, 0.947, 0.526)
Sm (0.858, 0.474, 0.053)
Sm (0.648, 0.276, 0.724)
Sm (0.416, 0.955, 0.045)
Sm (0.545, 0.622, 0.710)
Tb (0.460, 0.947, 0.723)
Tb (0.960, 0.723, 0.947)
Tb (0.460, 0.277, 0.053)
Tb (0.960, 0.053, 0.277)
Tb (0.072, 0.386, 0.614)
Tb (0.572, 0.614, 0.386)
Sc (0.123, 0.201, 0.799)
Sc (0.623, 0.799, 0.201)

***

Entry 5:
Density functional theory data (PBE-GGA) for crystalline TbPm2DyEr5 at its relaxed geometry.

Values from the calculation:
ΔH_f (0 K), eV per atom: 0.27
Space-group type: I4/mcm, No. 140

abc: 8.600 8.600 9.850
angles: 115.88 115.88 90.00
Sites, in units of the cell vectors:
Er (0.851, 0.928, 0.278)
Er (0.649, 0.149, 0.722)
Er (0.351, 0.851, 0.278)
Er (0.000, 0.000, 0.000)
Er (0.928, 0.428, 0.278)
Er (0.500, 0.500, 0.000)
Er (0.072, 0.572, 0.722)
Er (0.428, 0.351, 0.278)
Er (0.149, 0.072, 0.722)
Er (0.572, 0.649, 0.722)
Pm (0.383, 0.883, 0.000)
Pm (0.117, 0.383, 0.000)
Pm (0.883, 0.617, 0.000)
Pm (0.617, 0.117, 0.000)
Tb (0.750, 0.750, 0.500)
Tb (0.250, 0.250, 0.500)
Dy (0.750, 0.250, 0.500)
Dy (0.250, 0.750, 0.500)

***

Entry 6:
Density functional theory data (PBE-GGA) for crystalline FeNiOs2 at its relaxed geometry.

Values from the calculation:
ΔH_f (0 K), eV per atom: 0.15
Space-group type: C2/m, No. 12

abc: 4.480 4.480 4.649
angles: 80.22 80.22 34.41
Sites, in units of the cell vectors:
Os (0.497, 0.497, 0.499)
Os (0.003, 0.003, 0.001)
Ni (0.250, 0.250, 0.250)
Fe (0.750, 0.750, 0.750)